Here is a geometry-optimized Y2MoW structure from the Alexandria database. Energies are from GGA-PBE.

extended XYZ file:
```
4
Lattice="4.932 0.000 0.000 0.000 2.984 0.056 0.000 1.385 5.735" Properties=species:S:1:pos:R:3 pbc="T T T"
Y 0.000 1.577 5.734
Y 0.000 1.994 2.895
W 2.466 3.277 4.343
Mo 2.466 1.092 1.448
```

Results
**Energy**: -8.519 eV/atom
**Polymorph energy (0 for the lowest one)**: 0.4698 eV/atom
**ΔE_f**: 0.659 eV/atom

***

Here is a geometry-optimized YMoW structure from the Alexandria database. Energies are from GGA-PBE.

extended XYZ file:
```
3
Lattice="-1.503 4.021 -1.697 0.642 1.008 -4.459 -3.600 0.085 -2.888" Properties=species:S:1:pos:R:3 pbc="T T T"
Mo 0.000 0.000 0.000
W -2.231 2.557 -4.522
Y -3.346 3.835 -6.783
```

Results
**Energy**: -8.076 eV/atom
**Polymorph energy (0 for the lowest one)**: 1.8879 eV/atom
**ΔE_f**: 2.006 eV/atom

***

Here is a geometry-optimized Y2MoW structure from the Alexandria database. Energies are from GGA-PBE.

extended XYZ file:
```
8
Lattice="-2.603 -4.360 6.060 -6.007 -2.588 -4.442 -2.682 -5.694 -0.091" Properties=species:S:1:pos:R:3 pbc="T T T"
Mo -6.497 -5.878 -1.862
W -4.795 -6.764 3.389
Y -9.521 -10.340 1.366
W 0.000 0.000 0.000
Mo -4.305 -3.474 0.809
Y -4.760 -3.604 -2.017
Y -3.038 -4.454 3.186
Y -5.264 -6.887 0.521
```

Results
**Energy**: -7.989 eV/atom
**Polymorph energy (0 for the lowest one)**: 0.9996 eV/atom
**ΔE_f**: 1.189 eV/atom

***

Here is a geometry-optimized YMoW2 structure from the Alexandria database. Energies are from GGA-PBE.

extended XYZ file:
```
4
Lattice="9.370 0.020 0.012 8.857 3.057 0.012 8.857 1.495 2.666" Properties=species:S:1:pos:R:3 pbc="T T T"
Mo 20.030 3.381 1.989
Y 13.533 2.284 1.344
W 7.044 1.189 0.699
W 0.021 0.004 0.002
```

Results
**Energy**: -10.216 eV/atom
**Polymorph energy (0 for the lowest one)**: 0.2575 eV/atom
**ΔE_f**: 0.584 eV/atom

***

Here is a geometry-optimized Y2MoW structure from the Alexandria database. Energies are from GGA-PBE.

extended XYZ file:
```
4
Lattice="3.087 -0.002 0.000 -1.156 2.862 0.000 0.000 0.000 10.088" Properties=species:S:1:pos:R:3 pbc="T T T"
Y 0.000 0.000 9.700
Mo 0.000 0.000 5.355
Y 0.965 1.430 2.929
W 0.965 1.430 7.237
```

Results
**Energy**: -8.744 eV/atom
**Polymorph energy (0 for the lowest one)**: 0.2451 eV/atom
**ΔE_f**: 0.434 eV/atom

***

Here is a geometry-optimized YMoW2 structure from the Alexandria database. Energies are from GGA-PBE.

extended XYZ file:
```
4
Lattice="-2.334 -2.192 -0.226 2.016 -2.257 1.070 -2.031 1.454 6.892" Properties=species:S:1:pos:R:3 pbc="T T T"
W -0.576 -1.926 1.836
Mo -1.775 -1.068 5.905
W -2.031 1.453 6.889
Y -1.015 0.726 3.444
```

Results
**Energy**: -10.473 eV/atom
**Polymorph energy (0 for the lowest one)**: 0.0000 eV/atom
**ΔE_f**: 0.327 eV/atom